Entry from the Open Quantum Materials Database: SmAlZn2Ga after structural relaxation (PBE-GGA).

The value obtained for the density is 6.67 g/cm³. The volume comes out at 94.03 Å³/f.u. The value obtained for the calculated total energy is -32.4 eV per cell.

The structure belongs to space group I-4m2 (No. 119); the cell edges are 4.151, 4.151 and 10.915 Å and the angles 90.00°, 90.00° and 90.00°. Symmetry generates all atoms from Sm at (0.000, 0.000, 0.000), Al at (0.000, 0.500, 0.750), Zn at (0.000, 0.000, 0.389) and Ga at (0.000, 0.500, 0.250).